VASP calculation (PBE-GGA) on crystalline ScSi4Se at its relaxed geometry.

The value obtained for the total energy is -5.30 eV/atom. The value obtained for the formation energy (no corrections) is -4.5 kJ per mole of atoms.

The space group is F-43m (No. 216) and the conventional cell measures 7.2930, 7.2930 and 7.2930 Å, with angles of 90.00, 90.00 and 90.00 degrees. The asymmetric unit holds Sc at (0.0000, 0.0000, 0.0000), Si at (0.1243, 0.1243, 0.6243) and Se at (0.2500, 0.2500, 0.2500).

---

VASP calculation (PBE-GGA) on crystalline ScSiSe2 at its relaxed geometry.

The value obtained for the total energy is -5.31 eV/atom. The value obtained for the formation energy (no corrections) is -61.0 kJ per mole of atoms.

The space group is R-3m (No. 166, hexagonal axes) and the conventional cell measures 3.8931, 3.8931 and 19.0802 Å, with angles of 90.00, 90.00 and 120.00 degrees. The asymmetric unit holds Sc at (0.0000, 0.0000, 0.0000), Si at (0.0000, 0.0000, 0.5000) and Se at (0.0000, 0.0000, 0.2468).

---

VASP calculation (PBE-GGA) on crystalline ScSi2Se at its relaxed geometry.

The value obtained for the total energy is -5.72 eV/atom. The value obtained for the formation energy (no corrections) is -53.5 kJ per mole of atoms.

The space group is R3m (No. 160, hexagonal axes) and the conventional cell measures 3.7984, 3.7984 and 20.6665 Å, with angles of 90.00, 90.00 and 120.00 degrees. The asymmetric unit holds Sc at (0.0000, 0.0000, 0.0000), Si at (0.0000, 0.0000, 0.2396), Si at (0.0000, 0.0000, 0.5325) and Se at (0.0000, 0.0000, 0.7371).